(1)
VASP calculation (PBE-GGA) on a relaxed structure of Li5Tb4Tl6.

Cell lengths 4.7343, 10.9281, 14.6739 Å; angles 90.00, 90.00, 102.51 degrees
Closest atoms and distances in Å follow each position.
Sites, in units of the cell vectors:
Li 0.4755 0.9510 0.6499  4 Tl 2.67-2.85
Li 0.5245 0.0490 0.1499  4 Tl 2.67-2.85
Li 0.1837 0.3674 0.6396  4 Tl 2.74-2.92
Li 0.8163 0.6326 0.1396  4 Tl 2.74-2.92
Li 0.6563 0.3127 0.4520  5 Tl 2.76-2.98
Li 0.3437 0.6873 0.9520  5 Tl 2.76-2.98
Li 0.3346 0.6692 0.6212  4 Tl 2.96-3.22, 2 Li 3.04-3.23, 2 Tb 3.26
Li 0.6654 0.3308 0.1212  4 Tl 2.96-3.22, 2 Li 3.04-3.23, 2 Tb 3.26
Li 0.3216 0.6431 0.3000  5 Tl 2.92-3.17
Li 0.6784 0.3569 0.8000  5 Tl 2.92-3.17
Tb 0.9487 0.8973 0.2766  7 Tl 3.33-3.67, 5 Li 3.42-3.62
Tb 0.0513 0.1027 0.7766  7 Tl 3.33-3.67, 5 Li 3.42-3.62
Tb 0.1384 0.2768 0.2833  6 Tl 3.06-3.22, 2 Li 3.41
Tb 0.8616 0.7232 0.7833  6 Tl 3.06-3.22, 2 Li 3.41
Tb 0.8174 0.6348 0.4708  6 Tl 3.05-3.27, 2 Li 3.26
Tb 0.1826 0.3652 0.9708  6 Tl 3.05-3.27, 2 Li 3.26
Tb 0.0555 0.1110 0.4951  5 Tl 3.10-3.28, 3 Li 3.26-3.46
Tb 0.9445 0.8890 0.9951  5 Tl 3.10-3.28, 3 Li 3.26-3.46
Tl 0.7407 0.4813 0.2905  5 Li 2.74-2.98
Tl 0.4216 0.8432 0.4423  3 Li 2.99-3.26, 3 Tl 3.09-3.31, 2 Tb 3.27
Tl 0.7778 0.5556 0.9605  3 Li 2.75-2.76
Tl 0.2222 0.4444 0.4605  3 Li 2.75-2.76
Tl 0.4512 0.9024 0.8410  2 Li 2.81-2.85, 1 Tl 3.09
Tl 0.5488 0.0976 0.3410  2 Li 2.81-2.85, 1 Tl 3.09
Tl 0.3961 0.7923 0.1330  5 Li 2.75-2.92
Tl 0.6039 0.2077 0.6330  5 Li 2.75-2.92
Tl 0.0706 0.1413 0.0998  2 Li 2.67
Tl 0.9294 0.8587 0.5998  2 Li 2.67
Tl 0.5784 0.1568 0.9423  3 Li 2.99-3.26, 3 Tl 3.09-3.31, 2 Tb 3.27
Tl 0.2593 0.5187 0.7905  5 Li 2.74-2.98

Summary:
- density of states at the Fermi level (states/eV/cell) = 16.52
- formation enthalpy at 0 K (meV per atom) = -241


(2)
VASP calculation (PBE-GGA) on a relaxed structure of PdRuPt3.

Cell lengths 4.7479, 4.7479, 4.7479 Å; angles 90.00, 90.00, 90.00 degrees
Closest atoms and distances in Å follow each position.
Sites, in units of the cell vectors:
Ru 0.0000 0.0000 0.0000  6 Pt 2.37
Pd 0.5000 0.5000 0.5000  12 Pt 3.36
Pt 0.0000 0.5000 0.0000  2 Ru 2.37
Pt 0.0000 0.0000 0.5000  2 Ru 2.37
Pt 0.5000 0.0000 0.0000  2 Ru 2.37

Summary:
- polymorph energy (0 for the lowest one) (kcal/mol of atoms) = 27.34
- density of states at the Fermi level (states/eV/cell) = 5.53
- formation enthalpy at 0 K (meV per atom) = 1382


(3)
VASP calculation (PBE-GGA) on a relaxed structure of HgIrPb.

Cell lengths 4.2593, 5.4959, 6.6447 Å; angles 101.88, 108.96, 89.89 degrees
Closest atoms and distances in Å follow each position.
Sites, in units of the cell vectors:
Hg 0.8376 0.3460 0.3797  4 Ir 2.76-2.98
Hg 0.4422 0.9567 0.5892  3 Ir 2.85-2.97, 2 Pb 3.15
Ir 0.7873 0.8313 0.2830  2 Ir 2.54, 1 Hg 2.76
Ir 0.2290 0.5876 0.1669  2 Ir 2.54
Pb 0.1494 0.0561 0.0060  4 Ir 2.88-3.17
Pb 0.5638 0.5183 0.8396  3 Ir 2.93-2.94, 2 Hg 3.15

Summary:
- polymorph energy (0 for the lowest one) (kcal/mol of atoms) = 0.61
- density of states at the Fermi level (states/eV/cell) = 3.65
- formation enthalpy at 0 K (meV per atom) = 294


(4)
VASP calculation (PBE-GGA) on a relaxed structure of PrTmLuPb.

Cell lengths 5.5098, 5.5098, 5.5098 Å; angles 60.00, 60.00, 60.00 degrees
Closest atoms and distances in Å follow each position.
Sites, in units of the cell vectors:
Pb 0.2500 0.2500 0.2500  4 Pr 3.37, 4 Tm 3.37
Pr 0.5000 0.5000 0.5000  4 Pb 3.37, 4 Lu 3.37
Lu 0.7500 0.7500 0.7500  4 Pr 3.37, 4 Tm 3.37
Tm 0.0000 0.0000 0.0000  4 Pb 3.37, 4 Lu 3.37

Summary:
- density of states at the Fermi level (states/eV/cell) = 7.14
- formation enthalpy at 0 K (meV per atom) = -108


(5)
VASP calculation (PBE-GGA) on a relaxed structure of CaHf.

Cell lengths 6.3210, 6.3210, 6.3210 Å; angles 90.00, 90.00, 90.00 degrees
Closest atoms and distances in Å follow each position.
Sites, in units of the cell vectors:
Ca 0.0000 0.0000 0.0000  6 Hf 3.16
Ca 0.0000 0.5000 0.5000  6 Hf 3.16
Ca 0.5000 0.0000 0.5000  6 Hf 3.16
Ca 0.5000 0.5000 0.0000  6 Hf 3.16
Hf 0.5000 0.5000 0.5000  6 Ca 3.16
Hf 0.5000 0.0000 0.0000  6 Ca 3.16
Hf 0.0000 0.5000 0.0000  6 Ca 3.16
Hf 0.0000 0.0000 0.5000  6 Ca 3.16

Summary:
- polymorph energy (0 for the lowest one) (kcal/mol of atoms) = 26.41
- density of states at the Fermi level (states/eV/cell) = 10.76
- formation enthalpy at 0 K (meV per atom) = 1531


(6)
VASP calculation (PBE-GGA) on a relaxed structure of SrEu.

Cell lengths 4.0845, 4.0845, 6.7812 Å; angles 90.00, 90.00, 120.00 degrees
Closest atoms and distances in Å follow each position.
Sites, in units of the cell vectors:
Eu 0.6667 0.3333 0.5000  6 Eu 4.08, 6 Sr 4.13
Sr 0.3333 0.6667 0.0000  6 Sr 4.08, 6 Eu 4.13

Summary:
- polymorph energy (0 for the lowest one) (kcal/mol of atoms) = 0.00
- density of states at the Fermi level (states/eV/cell) = 8.81
- formation enthalpy at 0 K (meV per atom) = 30


(7)
VASP calculation (PBE-GGA) on a relaxed structure of La2Sb2Br.

Cell lengths 8.4453, 8.4453, 4.4570 Å; angles 90.00, 90.00, 90.00 degrees
Closest atoms and distances in Å follow each position.
Sites, in units of the cell vectors:
Sb 0.1232 0.6232 0.5000  1 Sb 2.94, 2 La 3.28
Sb 0.6232 0.8768 0.5000  1 Sb 2.94, 2 La 3.28
Sb 0.8768 0.3768 0.5000  1 Sb 2.94, 2 La 3.28
Sb 0.3768 0.1232 0.5000  1 Sb 2.94, 2 La 3.28
Br 0.0000 0.0000 0.0000  4 La 3.12
Br 0.5000 0.5000 0.0000  4 La 3.12
La 0.3244 0.8244 0.0000  2 Br 3.12, 6 Sb 3.28-3.40
La 0.8244 0.6756 0.0000  2 Br 3.12, 6 Sb 3.28-3.40
La 0.6756 0.1756 0.0000  2 Br 3.12, 6 Sb 3.28-3.40
La 0.1756 0.3244 0.0000  2 Br 3.12, 6 Sb 3.28-3.40

Summary:
- density of states at the Fermi level (states/eV/cell) = 5.79
- raw formation energy (eV per atom) = -1.291


(8)
VASP calculation (PBE-GGA) on a relaxed structure of ScCu2.

Cell lengths 5.3731, 4.6742, 7.4825 Å; angles 90.00, 90.00, 90.00 degrees
Closest atoms and distances in Å follow each position.
Sites, in units of the cell vectors:
Cu 0.9454 0.2500 0.2593  4 Cu 2.45-2.69, 2 Sc 2.72
Cu 0.5546 0.7500 0.7593  4 Cu 2.45-2.69, 2 Sc 2.72
Cu 0.4454 0.2500 0.2407  4 Cu 2.45-2.69, 2 Sc 2.72
Cu 0.0546 0.7500 0.7407  4 Cu 2.45-2.69, 2 Sc 2.72
Cu 0.1774 0.2500 0.5407  2 Cu 2.45-2.67, 4 Sc 2.67-2.70
Cu 0.3226 0.7500 0.0407  2 Cu 2.45-2.67, 4 Sc 2.67-2.70
Cu 0.6774 0.2500 0.9593  2 Cu 2.45-2.67, 4 Sc 2.67-2.70
Cu 0.8226 0.7500 0.4593  2 Cu 2.45-2.67, 4 Sc 2.67-2.70
Sc 0.6826 0.2500 0.5983  9 Cu 2.67-2.96
Sc 0.8174 0.7500 0.0983  9 Cu 2.67-2.96
Sc 0.1826 0.2500 0.9017  9 Cu 2.67-2.96
Sc 0.3174 0.7500 0.4017  9 Cu 2.67-2.96

Summary:
- density of states at the Fermi level (states/eV/cell) = 7.51
- formation enthalpy at 0 K (meV per atom) = -176


(9)
VASP calculation (PBE-GGA) on a relaxed structure of Pa2AlCo4Ge3.

Cell lengths 3.9417, 3.9417, 10.0762 Å; angles 90.00, 90.00, 90.00 degrees
Closest atoms and distances in Å follow each position.
Sites, in units of the cell vectors:
Pa 0.5000 0.0000 0.2495  8 Co 3.00-3.19, 6 Ge 3.04-3.20, 2 Al 3.20
Pa 0.0000 0.5000 0.7505  8 Co 3.00-3.19, 6 Ge 3.04-3.20, 2 Al 3.20
Al 0.5000 0.5000 0.5000  4 Co 2.43
Co 0.5000 0.5000 0.0000  4 Ge 2.36
Co 0.0000 0.0000 0.0000  4 Ge 2.36
Co 0.5000 0.0000 0.6407  3 Ge 2.33-2.43, 2 Al 2.43
Co 0.0000 0.5000 0.3593  3 Ge 2.33-2.43, 2 Al 2.43
Ge 0.0000 0.0000 0.5000  4 Co 2.43
Ge 0.5000 0.0000 0.8717  5 Co 2.33-2.36
Ge 0.0000 0.5000 0.1283  5 Co 2.33-2.36

Summary:
- density of states at the Fermi level (states/eV/cell) = 10.16
- formation enthalpy at 0 K (meV per atom) = -549


(10)
VASP calculation (PBE-GGA) on a relaxed structure of ZnCr4Ni.

Cell lengths 4.7109, 4.7109, 4.7109 Å; angles 60.00, 60.00, 60.00 degrees
Closest atoms and distances in Å follow each position.
Sites, in units of the cell vectors:
Zn 0.0000 0.0000 0.0000  12 Cr 2.76, 4 Ni 2.88
Cr 0.8772 0.3743 0.3743  6 Cr 2.34-2.37
Cr 0.3743 0.3743 0.8772  6 Cr 2.34-2.37
Cr 0.3743 0.8772 0.3743  6 Cr 2.34-2.37
Cr 0.3743 0.3743 0.3743  6 Cr 2.34-2.37
Ni 0.7500 0.7500 0.7500  12 Cr 2.76, 4 Zn 2.88

Summary:
- density of states at the Fermi level (states/eV/cell) = 5.83
- formation enthalpy at 0 K (meV per atom) = 317


(11)
VASP calculation (PBE-GGA) on a relaxed structure of Ce5GaPt2.

Cell lengths 4.6831, 5.5815, 17.4217 Å; angles 90.00, 90.00, 114.80 degrees
Closest atoms and distances in Å follow each position.
Sites, in units of the cell vectors:
Ce 0.0014 0.0028 0.8689  2 Ce 2.99, 2 Pt 3.02, 2 Ga 3.29
Ce 0.0014 0.0028 0.6311  2 Ce 2.99, 2 Pt 3.02, 2 Ga 3.29
Ce 0.3505 0.7009 0.4322  3 Pt 2.79-2.97, 2 Ce 2.99
Ce 0.3505 0.7009 0.0678  3 Pt 2.79-2.97, 2 Ce 2.99
Ce 0.7018 0.4035 0.2500  2 Pt 2.77, 3 Ga 3.06-3.09
Ce 0.2982 0.5965 0.7500  2 Pt 2.77, 3 Ga 3.06-3.09
Ce 0.6495 0.2991 0.5678  3 Pt 2.79-2.97, 2 Ce 2.99
Ce 0.6495 0.2991 0.9322  3 Pt 2.79-2.97, 2 Ce 2.99
Ce 0.9986 0.9972 0.1311  2 Ce 2.99, 2 Pt 3.02, 2 Ga 3.29
Ce 0.9986 0.9972 0.3689  2 Ce 2.99, 2 Pt 3.02, 2 Ga 3.29
Ga 0.6034 0.2068 0.7500  9 Ce 3.06-3.29
Ga 0.3966 0.7932 0.2500  9 Ce 3.06-3.29
Pt 0.6744 0.3488 0.4081  6 Ce 2.77-3.02
Pt 0.6744 0.3488 0.0919  6 Ce 2.77-3.02
Pt 0.3256 0.6512 0.5919  6 Ce 2.77-3.02
Pt 0.3256 0.6512 0.9081  6 Ce 2.77-3.02

Summary:
- polymorph energy (0 for the lowest one) (kcal/mol of atoms) = 0.79
- density of states at the Fermi level (states/eV/cell) = 44.84
- formation enthalpy at 0 K (meV per atom) = -595


(12)
VASP calculation (PBE-GGA) on a relaxed structure of CoReTc2.

Cell lengths 2.6902, 3.7970, 5.3777 Å; angles 90.00, 90.00, 90.00 degrees
Closest atoms and distances in Å follow each position.
Sites, in units of the cell vectors:
Co 0.0000 0.0000 0.5030  4 Re 2.64, 6 Tc 2.67-2.69, 2 Co 2.69
Re 0.5000 0.5000 0.7337  6 Tc 2.54-2.83, 4 Co 2.64, 2 Re 2.69
Tc 0.0000 0.0000 0.0026  2 Co 2.69, 6 Tc 2.69-2.71, 4 Re 2.74
Tc 0.5000 0.5000 0.2607  2 Re 2.54-2.83, 4 Co 2.67, 6 Tc 2.69-2.71

Summary:
- polymorph energy (0 for the lowest one) (kcal/mol of atoms) = 1.21
- density of states at the Fermi level (states/eV/cell) = 5.03
- formation enthalpy at 0 K (meV per atom) = 81


(13)
VASP calculation (PBE-GGA) on a relaxed structure of Rb2GaOF6.

Cell lengths 6.0274, 6.0274, 6.0396 Å; angles 60.07, 60.07, 90.00 degrees
Closest atoms and distances in Å follow each position.
Sites, in units of the cell vectors:
O 0.5000 0.5000 0.0000  6 F 2.33-2.35
Ga 0.0000 0.0000 0.0000  6 F 1.93
Rb 0.7500 0.2500 0.5000  12 F 3.02-3.03
Rb 0.2500 0.7500 0.5000  12 F 3.02-3.03
F 0.2252 0.2252 0.5497  1 Ga 1.93
F 0.7748 0.7748 0.4503  1 Ga 1.93
F 0.2263 0.2263 0.0000  1 Ga 1.93
F 0.7737 0.7737 0.0000  1 Ga 1.93
F 0.7737 0.2263 0.0000  1 Ga 1.93
F 0.2263 0.7737 0.0000  1 Ga 1.93

Summary:
- density of states at the Fermi level (states/eV/cell) = 0.00
- raw formation energy (eV per atom) = -2.013


(14)
VASP calculation (PBE-GGA) on a relaxed structure of GeTePS2.

Cell lengths 4.6643, 4.6643, 4.8616 Å; angles 90.00, 90.00, 90.00 degrees
Closest atoms and distances in Å follow each position.
Sites, in units of the cell vectors:
P 0.0000 0.0000 0.5000  2 Ge 2.43
Ge 0.0000 0.0000 0.0000  4 S 2.33, 2 P 2.43
Te 0.5000 0.5000 0.5000  4 P 3.30, 8 S 3.37
S 0.0000 0.5000 0.0000  2 Ge 2.33
S 0.5000 0.0000 0.0000  2 Ge 2.33

Summary:
- polymorph energy (0 for the lowest one) (kcal/mol of atoms) = 0.00
- density of states at the Fermi level (states/eV/cell) = 4.29
- raw formation energy (eV per atom) = 0.594


(15)
VASP calculation (PBE-GGA) on a relaxed structure of Zn2AgP.

Cell lengths 5.6622, 5.6622, 7.0775 Å; angles 66.42, 66.42, 90.00 degrees
Closest atoms and distances in Å follow each position.
Sites, in units of the cell vectors:
P 0.5000 0.5000 0.0000  4 Zn 2.31
P 0.2500 0.7500 0.5000  4 Zn 2.31
Zn 0.5676 0.1250 0.2500  2 P 2.31
Zn 0.1824 0.6250 0.2500  2 P 2.31
Zn 0.3750 0.4324 0.7500  2 P 2.31
Zn 0.8750 0.8176 0.7500  2 P 2.31
Ag 0.0000 0.0000 0.0000  4 Zn 2.68
Ag 0.7500 0.2500 0.5000  4 Zn 2.68

Summary:
- density of states at the Fermi level (states/eV/cell) = 0.00
- formation enthalpy at 0 K (meV per atom) = 196


(16)
VASP calculation (PBE-GGA) on a relaxed structure of Pu2Pa6Ti.

Cell lengths 3.1950, 8.7303, 8.7303 Å; angles 120.00, 90.00, 90.00 degrees
Closest atoms and distances in Å follow each position.
Sites, in units of the cell vectors:
Pu 0.5000 0.6667 0.3333  6 Pa 3.00, 2 Pu 3.19
Pu 0.5000 0.3333 0.6667  6 Pa 3.00, 2 Pu 3.19
Pa 0.2709 0.0000 0.3330  2 Pu 3.00, 1 Ti 3.03, 5 Pa 3.19-3.26
Pa 0.2709 0.6670 0.6670  2 Pu 3.00, 1 Ti 3.03, 5 Pa 3.19-3.26
Pa 0.7291 0.0000 0.6670  2 Pu 3.00, 1 Ti 3.03, 5 Pa 3.19-3.26
Pa 0.7291 0.6670 0.0000  2 Pu 3.00, 1 Ti 3.03, 5 Pa 3.19-3.26
Pa 0.7291 0.3330 0.3330  2 Pu 3.00, 1 Ti 3.03, 5 Pa 3.19-3.26
Pa 0.2709 0.3330 0.0000  2 Pu 3.00, 1 Ti 3.03, 5 Pa 3.19-3.26
Ti 0.0000 0.0000 0.0000  6 Pa 3.03, 2 Ti 3.19

Summary:
- density of states at the Fermi level (states/eV/cell) = 21.74
- formation enthalpy at 0 K (meV per atom) = 168


(17)
VASP calculation (PBE-GGA) on a relaxed structure of TiPO4F.

Cell lengths 5.2014, 5.2029, 7.4365 Å; angles 109.63, 109.68, 90.22 degrees
Closest atoms and distances in Å follow each position.
Sites, in units of the cell vectors:
Ti 0.0000 0.0000 0.0000  4 O 1.92-1.93, 2 F 1.98
Ti 0.5000 0.5000 0.5000  4 O 1.92-1.93, 2 F 1.98
P 0.8810 0.6182 0.2499  4 O 1.54-1.55
P 0.1190 0.3818 0.7501  4 O 1.54-1.55
O 0.1661 0.6746 0.9124  1 P 1.55
O 0.1448 0.1633 0.8505  1 P 1.54
O 0.8262 0.3346 0.5874  1 P 1.55
O 0.3381 0.3553 0.6504  1 P 1.54
O 0.8552 0.8367 0.1495  1 P 1.54
O 0.1738 0.6654 0.4126  1 P 1.55
O 0.6619 0.6447 0.3496  1 P 1.54
O 0.8339 0.3254 0.0876  1 P 1.55
F 0.6702 0.8301 0.7498  2 Ti 1.98
F 0.3298 0.1699 0.2502  2 Ti 1.98

Summary:
- polymorph energy (0 for the lowest one) (kcal/mol of atoms) = 0.00
- density of states at the Fermi level (states/eV/cell) = 0.00
- raw formation energy (eV per atom) = -2.708


(18)
VASP calculation (PBE-GGA) on a relaxed structure of Er2GaGe.

Cell lengths 3.9437, 4.7309, 4.7309 Å; angles 90.00, 90.00, 90.00 degrees
Closest atoms and distances in Å follow each position.
Sites, in units of the cell vectors:
Ge 0.5000 0.0000 0.0000  8 Er 3.08, 4 Ga 3.35
Ga 0.5000 0.5000 0.5000  8 Er 3.08, 4 Ge 3.35
Er 0.0000 0.0000 0.5000  4 Ge 3.08, 4 Ga 3.08, 4 Er 3.35
Er 0.0000 0.5000 0.0000  4 Ge 3.08, 4 Ga 3.08, 4 Er 3.35

Summary:
- density of states at the Fermi level (states/eV/cell) = 2.08
- formation enthalpy at 0 K (meV per atom) = -598


VASP energy for the records above, in order: -91.8; -25.7; -24.0; -17.9; -35.6; -11.9; -52.5; -60.2; -70.5; -43.6; -99.1; -40.0; -41.3; -18.5; -20.1; -92.0; -107.9; -19.2 eV per cell